A plane-wave DFT calculation with GGA-PBE was carried out for a geometry-optimized Ce3Pa3NbN8 structure.

Cell: 6.9604 6.9604 6.9604 Å, 59.37 59.37 59.37°
Sites, in units of the cell vectors:
Ce1 0.0000 0.5000 0.5000
Ce2 0.5000 0.0000 0.5000
Ce3 0.5000 0.5000 0.0000
Pa1 0.0000 0.0000 0.5000
Pa2 0.0000 0.5000 0.0000
Pa3 0.5000 0.0000 0.0000
Nb1 0.5000 0.5000 0.5000
N1 0.2433 0.2433 0.2433
N2 0.2570 0.7267 0.7267
N3 0.2733 0.2733 0.7430
N4 0.2733 0.7430 0.2733
N5 0.7267 0.2570 0.7267
N6 0.7267 0.7267 0.2570
N7 0.7430 0.2733 0.2733
N8 0.7567 0.7567 0.7567

Summary:
- Size of the total moment: 0.00 Bohr magnetons per cell
- ρ: 9.3 g/cm³
- Electronic total energy: -9.64 eV/atom